Material: TaInAs2
Method: DFT, PBE
State: relaxed

Lattice parameters (Å, degrees): 7.2873 5.3938 2.9366 76.91 86.12 131.08
Closest atoms and distances in Å follow each position.
Positions (direct):
In 0.0000 0.5000 0.5000  4 As 2.76, 2 In 2.94
Ta 0.5000 0.5000 0.0000  4 As 2.76, 2 Ta 2.94
As 0.0000 0.0000 0.0000  2 Ta 2.76, 2 In 2.76, 2 As 2.94
As 0.5000 0.0000 0.5000  2 In 2.76, 2 Ta 2.76, 2 As 2.94

Properties
- Fermi-level density of states: 2.56 states/eV/cell
- Final energy: -5.710 eV per atom



Material: TaInAs3
Method: DFT, PBE
State: relaxed

Lattice parameters (Å, degrees): 5.0499 5.0499 5.0499 90.00 90.00 90.00
Closest atoms and distances in Å follow each position.
Positions (direct):
As 0.0000 0.5000 0.0000  2 Ta 2.52
As 0.0000 0.0000 0.5000  2 Ta 2.52
As 0.5000 0.0000 0.0000  2 Ta 2.52
In 0.5000 0.5000 0.5000  12 As 3.57
Ta 0.0000 0.0000 0.0000  6 As 2.52

Properties
- Fermi-level density of states: 4.33 states/eV/cell
- Final energy: -5.528 eV per atom